# 1
VASP calculation (GGA-PBE) on Mn2P2Os after structural relaxation.

Its uncorrected energy is -7.836 eV per atom. For the formation energy from the elements, the calculation gives 0.242 eV/atom. The energy relative to the lowest polymorph listed for this composition is 2.144 eV per formula unit. As for the volume: 125 Å³ per cell.

It has space group I4/mmm (No. 139), with a = 3.342 Å, b = 3.342 Å, c = 11.192 Å, α = 90.00°, β = 90.00° and γ = 90.00°. The asymmetric unit holds Mn at (0.000, 0.000, 0.113), P at (0.000, 0.500, 0.250) and Os at (0.000, 0.000, 0.500).



# 2
VASP calculation (GGA-PBE) on ScAlCr3 after structural relaxation.

Its uncorrected energy is -6.166 eV per atom. For the formation energy from the elements, the calculation gives 1.622 eV/atom. The energy relative to the lowest polymorph listed for this composition is 2.865 eV per formula unit. As for the volume: 99 Å³ per cell.

It has space group Pm-3m (No. 221), with a = 4.619 Å, b = 4.619 Å, c = 4.619 Å, α = 90.00°, β = 90.00° and γ = 90.00°. The asymmetric unit holds Sc at (0.000, 0.000, 0.000), Al at (0.500, 0.500, 0.500) and Cr at (0.000, 0.000, 0.500).



# 3
VASP calculation (GGA-PBE) on K3Dy2US6 after structural relaxation.

Its uncorrected energy is -5.741 eV per atom. The uncorrected formation energy comes out at -1.69 eV/atom. As for the volume: 633 Å³ per cell.

It has space group C2/m (No. 12), with a = 7.040 Å, b = 12.196 Å, c = 7.741 Å, α = 90.00°, β = 107.64° and γ = 90.00°. The asymmetric unit holds K at (0.000, 0.000, 0.000), K at (0.000, 0.333, 0.000), Dy at (0.000, 0.167, 0.500), U at (0.000, 0.500, 0.500), S at (0.233, 0.000, 0.703) and S at (0.235, 0.333, 0.703).



# 4
VASP calculation (GGA-PBE) on NaTl2CdCo after structural relaxation.

Its uncorrected energy is -2.700 eV per atom. For the formation energy from the elements, the calculation gives 0.114 eV/atom. As for the volume: 131 Å³ per cell.

It has space group P4/mmm (No. 123), with a = 5.057 Å, b = 5.057 Å, c = 5.115 Å, α = 90.00°, β = 90.00° and γ = 90.00°. The asymmetric unit holds Na at (0.000, 0.000, 0.000), Tl at (0.000, 0.500, 0.500), Cd at (0.500, 0.500, 0.000) and Co at (0.500, 0.500, 0.500).